# Sr2LiCuPt2

A relaxed Sr2LiCuPt2 crystal (PBE, the Alexandria database).

Structure (POSCAR):
```
Sr2LiCuPt2
1.0
-2.3336 -2.4413 -5.1001
-0.9455 -5.2325 2.9373
-4.9325 6.1035 3.0036
Li Sr Pt Cu
2 4 4 2
Direct
0.0000 0.7500 0.0000 Li
0.0000 0.2500 0.0000 Li
0.5789 0.8351 0.6703 Sr
0.0914 0.3352 0.6703 Sr
0.9086 0.6649 0.3297 Sr
0.4211 0.1648 0.3297 Sr
0.1444 0.8937 0.7875 Pt
0.3569 0.6063 0.2125 Pt
0.6431 0.3937 0.7875 Pt
0.8556 0.1063 0.2125 Pt
0.5000 0.7500 0.0000 Cu
0.5000 0.2500 0.0000 Cu
```

Output
As for the crystal system: orthorhombic. Its space-group type is No. 72. The calculation puts the energy at -49.63 eV per cell. The energy of formation from the pure elements comes out at -0.56 eV per atom. For the total magnetic moment, the calculation gives 0.0 μB/cell.